Below is an optimized crystal structure of SrTeP2, with properties calculated at the GGA-PBE level.

a = 4.8373 Å, b = 4.8373 Å, c = 3.9653 Å
α = 90.00°, β = 90.00°, γ = 90.12°
With the nearest neighbours (Å) after each atom.
Element x y z (fractional)
Sr 0.0000 0.0000 0.0000  8 P 3.13, 4 Te 3.42
Te 0.5000 0.5000 0.0000  8 P 3.13, 4 Sr 3.42
P 0.0000 0.5000 0.5000  4 Te 3.13, 4 Sr 3.13, 4 P 3.42
P 0.5000 0.0000 0.5000  4 Te 3.13, 4 Sr 3.13, 4 P 3.42

Values from the calculation:
uncorrected formation energy	-0.1400	eV per atom
total DFT energy (no corrections)	-4.05	eV per atom
SG	Cmmm
N(E_F)	1.6	states/eV/f.u.
volume	92.8	Å³ per cell



Below is an optimized crystal structure of SrTeP2, with properties calculated at the GGA-PBE level.

a = 8.1164 Å, b = 8.1164 Å, c = 8.1164 Å
α = 133.40°, β = 133.40°, γ = 68.02°
With the nearest neighbours (Å) after each atom.
Element x y z (fractional)
Sr 0.0000 0.0000 0.0000  4 P 3.02
Sr 0.7500 0.2500 0.5000  4 P 3.02
Te 0.2500 0.7500 0.5000  4 P 2.66
Te 0.5000 0.5000 0.0000  4 P 2.66
P 0.1752 0.6250 0.0502  2 Te 2.66
P 0.3750 0.4252 0.5502  2 Te 2.66
P 0.5748 0.1250 0.9498  2 Te 2.66
P 0.8750 0.8248 0.4498  2 Te 2.66

Values from the calculation:
uncorrected formation energy	-0.0417	eV per atom
total DFT energy (no corrections)	-3.95	eV per atom
SG	I-42d
N(E_F)	0.5	states/eV/f.u.
volume	277.3	Å³ per cell



Below is an optimized crystal structure of SrTeP2, with properties calculated at the GGA-PBE level.

a = 7.4098 Å, b = 7.4098 Å, c = 7.4098 Å
α = 32.19°, β = 32.19°, γ = 32.19°
With the nearest neighbours (Å) after each atom.
Element x y z (fractional)
Sr 0.0000 0.0000 0.0000  6 P 3.08
Te 0.5000 0.5000 0.5000  6 P 2.83
P 0.2397 0.2397 0.2397  3 Te 2.83, 3 Sr 3.08
P 0.7603 0.7603 0.7603  3 Te 2.83, 3 Sr 3.08

Values from the calculation:
uncorrected formation energy	-0.2642	eV per atom
total DFT energy (no corrections)	-4.18	eV per atom
SG	R-3m
N(E_F)	0.6	states/eV/f.u.
volume	102.6	Å³ per cell



Below is an optimized crystal structure of SrTeP2, with properties calculated at the GGA-PBE level.

a = 5.6106 Å, b = 5.6106 Å, c = 5.6106 Å
α = 138.75°, β = 121.55°, γ = 74.03°
With the nearest neighbours (Å) after each atom.
Element x y z (fractional)
Sr 0.0000 0.0000 0.0000  8 P 3.23-3.35, 4 Te 3.38
Te 0.5000 0.5000 0.0000  4 P 2.76
P 0.2845 0.7845 0.5000  2 Te 2.76
P 0.7155 0.2155 0.5000  2 Te 2.76

Values from the calculation:
uncorrected formation energy	-0.1655	eV per atom
total DFT energy (no corrections)	-4.08	eV per atom
SG	Immm
N(E_F)	2.0	states/eV/f.u.
volume	97.0	Å³ per cell



Below is an optimized crystal structure of SrTeP2, with properties calculated at the GGA-PBE level.

a = 6.1025 Å, b = 6.1025 Å, c = 6.1025 Å
α = 139.53°, β = 139.53°, γ = 58.57°
With the nearest neighbours (Å) after each atom.
Element x y z (fractional)
Sr 0.0000 0.0000 0.0000  4 P 2.99
Te 0.2500 0.7500 0.5000  4 P 2.99
P 0.5000 0.5000 0.0000  4 Sr 2.99
P 0.7500 0.2500 0.5000  4 Te 2.99

Values from the calculation:
uncorrected formation energy	-0.0888	eV per atom
total DFT energy (no corrections)	-4.00	eV per atom
SG	I-4m2
N(E_F)	2.8	states/eV/f.u.
volume	94.9	Å³ per cell



Below is an optimized crystal structure of Sr2TeP, with properties calculated at the GGA-PBE level.

a = 5.4793 Å, b = 5.4793 Å, c = 5.4793 Å
α = 60.00°, β = 60.00°, γ = 60.00°
With the nearest neighbours (Å) after each atom.
Element x y z (fractional)
Sr 0.0000 0.0000 0.0000  4 Te 3.36, 4 Sr 3.36
Sr 0.2500 0.2500 0.2500  4 P 3.36, 4 Sr 3.36
Te 0.7500 0.7500 0.7500  4 P 3.36, 4 Sr 3.36
P 0.5000 0.5000 0.5000  4 Te 3.36, 4 Sr 3.36

Values from the calculation:
uncorrected formation energy	-0.3498	eV per atom
total DFT energy (no corrections)	-3.33	eV per atom
SG	F-43m
relative energy among the computed polymorphs	815	meV/atom
N(E_F)	4.2	states/eV/f.u.
volume	116.3	Å³ per cell



- Which value of total DFT energy (no corrections) does entry 1 give?
  -4.05 eV per atom